Record 1
## KNbH3 (PBE-GGA)

Data for crystalline KNbH3 at its relaxed geometry.

Output
The total energy is -20.53 eV per cell. Its crystal system is cubic. For the total magnetization, the calculation gives 2.9 Bohr magnetons per cell. As for the excess energy over the best structure of this formula in the dataset: 0 meV per atom.

abc: 4.044 4.044 4.044
angles: 90.00 90.00 90.00
Space group Pm-3m (No. 221)
One atom of each set of equivalent atoms:
K (0.000, 0.000, 0.000) [1 per cell]
Nb (0.500, 0.500, 0.500) [1 per cell]
H (0.000, 0.500, 0.500) [3 per cell]

=====

Record 2
## Cs2UAg2Se4 (PBE-GGA)

Data for crystalline Cs2UAg2Se4 at its relaxed geometry.

Output
The total energy is -82.05 eV per cell. Its crystal system is monoclinic. For the total magnetization, the calculation gives 4.0 Bohr magnetons per cell. The value obtained for the formation energy from raw total energies is -0.932 eV/atom.

abc: 15.764 4.339 8.537
angles: 90.00 108.48 90.00
Space group C2/m (No. 12)
One atom of each set of equivalent atoms:
Cs (0.136, 0.000, 0.071) [4 per cell]
U (0.000, 0.000, 0.500) [2 per cell]
Ag (0.180, 0.500, 0.482) [4 per cell]
Se (0.012, 0.500, 0.280) [4 per cell]
Se (0.188, 0.000, 0.677) [4 per cell]

=====

Record 3
## SrMgSc (PBE-GGA)

Data for crystalline SrMgSc at its relaxed geometry.

Output
As for the formation energy: 0.127 eV/atom. The total energy is -18.46 eV per cell. Its crystal system is tetragonal. For the total magnetization, the calculation gives 0.6 Bohr magnetons per cell. As for the excess energy over the best structure of this formula in the dataset: 8 meV per atom.

abc: 3.800 3.800 13.137
angles: 90.00 90.00 90.00
Space group I4mm (No. 107)
One atom of each set of equivalent atoms:
Sr (0.000, 0.000, 0.000) [2 per cell]
Mg (0.000, 0.000, 0.682) [2 per cell]
Sc (0.000, 0.000, 0.297) [2 per cell]

=====

Record 4
## AcPrAu2O8 (PBE-GGA)

Data for crystalline AcPrAu2O8 at its relaxed geometry.

Output
The total energy is -137.83 eV per cell. Its crystal system is tetragonal. For the total magnetization, the calculation gives 8.2 Bohr magnetons per cell. The value obtained for the formation energy from raw total energies is -1.150 eV/atom.

abc: 5.752 5.752 10.816
angles: 90.00 90.00 90.00
Space group I-4 (No. 82)
One atom of each set of equivalent atoms:
Ac (0.000, 0.000, 0.000) [2 per cell]
Pr (0.000, 0.500, 0.750) [2 per cell]
Au (0.000, 0.000, 0.500) [2 per cell]
Au (0.000, 0.500, 0.250) [2 per cell]
O (0.098, 0.326, 0.539) [8 per cell]
O (0.119, 0.820, 0.216) [8 per cell]

=====

Which formula does entry 4 have? AcPrAu2O8